Compound: Mn2InSb
Source: the Alexandria database
Functional: PBE
Structure: relaxed

Cell and atoms, written as CIF:
```
data_Mn2InSb
_chemical_formula_sum 'Mn2 In1 Sb1'
_space_group_name_H-M_alt 'P 4/m m m'
_space_group_IT_number 123
_space_group_name_Hall '-P 4 2'
_cell_length_a 3.102
_cell_length_b 3.102
_cell_length_c 7.851
_cell_angle_alpha 90.00
_cell_angle_beta 90.00
_cell_angle_gamma 90.00
loop_
_atom_site_label
_atom_site_fract_x
_atom_site_fract_y
_atom_site_fract_z
Mn1 0.000 0.000 0.249
In1 0.500 0.500 0.500
Sb1 0.500 0.500 0.000
```

Results
E above lowest polymorph: 0.076 eV per atom
Uncorrected formation energy: 302 meV/atom